## w
Here is Rb2TiNb after structural relaxation from the Alexandria database. Energies are from GGA-PBE.

Cell: 6.0207 6.0207 6.0207 Å, 60.00 60.00 60.00°
Sites, in units of the cell vectors:
Rb (0.2500, 0.2500, 0.2500)
Rb (0.7500, 0.7500, 0.7500)
Ti (0.0000, 0.0000, 0.0000)
Nb (0.5000, 0.5000, 0.5000)

As for the magnetic moment: 1.5 μB/cell.


## x
Here is Rb2TiNb after structural relaxation from the Alexandria database. Energies are from GGA-PBE.

Cell: 9.9832 9.9832 9.9832 Å, 93.08 93.08 153.20°
Sites, in units of the cell vectors:
Rb (0.3750, 0.2127, 0.3377)
Rb (0.7873, 0.1250, 0.1623)
Rb (0.8750, 0.0373, 0.6623)
Rb (0.9627, 0.6250, 0.8377)
Ti (0.0000, 0.0000, 0.0000)
Ti (0.7500, 0.2500, 0.5000)
Nb (0.2500, 0.7500, 0.5000)
Nb (0.5000, 0.5000, 0.0000)

As for the magnetic moment: 4.7 μB/cell.


Referenced to the most stable arrangement, the calculated values in meV/atom are w 494; x 0.


## w
Here is RbTiNb2 after structural relaxation from the Alexandria database. Energies are from GGA-PBE.

Cell: 10.3517 10.3517 10.3517 Å, 151.63 151.63 40.56°
Sites, in units of the cell vectors:
Rb (0.3750, 0.6250, 0.7500)
Rb (0.6250, 0.3750, 0.2500)
Ti (0.1250, 0.8750, 0.2500)
Ti (0.8750, 0.1250, 0.7500)
Nb (0.0000, 0.0000, 0.0000)
Nb (0.0000, 0.0000, 0.5000)
Nb (0.0000, 0.5000, 0.0000)
Nb (0.5000, 0.0000, 0.5000)

As for the magnetic moment: 1.2 μB/cell.


## x
Here is RbTiNb2 after structural relaxation from the Alexandria database. Energies are from GGA-PBE.

Cell: 4.9320 4.9320 4.9320 Å, 60.00 60.00 60.00°
Sites, in units of the cell vectors:
Rb (0.0000, 0.0000, 0.0000)
Ti (0.5000, 0.5000, 0.5000)
Nb (0.2500, 0.2500, 0.2500)
Nb (0.7500, 0.7500, 0.7500)

As for the magnetic moment: 0.0 μB/cell.


Referenced to the most stable arrangement, the calculated values in meV/atom are w 119; x 0.


## w
Here is RbTi2Nb after structural relaxation from the Alexandria database. Energies are from GGA-PBE.

Cell: 7.8027 7.8027 7.8027 Å, 123.98 123.98 83.24°
Sites, in units of the cell vectors:
Rb (0.3750, 0.6250, 0.7500)
Rb (0.6250, 0.3750, 0.2500)
Ti (0.0000, 0.0000, 0.0000)
Ti (0.0000, 0.0000, 0.5000)
Ti (0.0000, 0.5000, 0.0000)
Ti (0.5000, 0.0000, 0.5000)
Nb (0.1250, 0.8750, 0.2500)
Nb (0.8750, 0.1250, 0.7500)

As for the magnetic moment: 0.0 μB/cell.


## x
Here is RbTi2Nb after structural relaxation from the Alexandria database. Energies are from GGA-PBE.

Cell: 4.9396 4.9396 4.9396 Å, 60.00 60.00 60.00°
Sites, in units of the cell vectors:
Rb (0.0000, 0.0000, 0.0000)
Ti (0.2500, 0.2500, 0.2500)
Ti (0.7500, 0.7500, 0.7500)
Nb (0.5000, 0.5000, 0.5000)

As for the magnetic moment: 0.0 μB/cell.


Referenced to the most stable arrangement, the calculated values in meV/atom are w 171; x 0.


## w
Here is Rb2Nb2Tl after structural relaxation from the Alexandria database. Energies are from GGA-PBE.

Cell: 8.8508 8.8508 8.8508 Å, 151.37 151.37 40.93°
Sites, in units of the cell vectors:
Rb (0.2500, 0.7500, 0.5000)
Rb (0.7500, 0.2500, 0.5000)
Nb (0.0654, 0.0654, 0.0000)
Nb (0.9346, 0.9346, 0.0000)
Tl (0.5000, 0.5000, 0.0000)

As for the magnetic moment: 0.0 μB/cell.


## x
Here is Rb2Nb2Tl after structural relaxation from the Alexandria database. Energies are from GGA-PBE.

Cell: 10.9641 10.9641 3.3940 Å, 90.00 90.00 90.00°
Sites, in units of the cell vectors:
Rb (0.2145, 0.2855, 0.0000)
Rb (0.2855, 0.7855, 0.0000)
Rb (0.7145, 0.2145, 0.0000)
Rb (0.7855, 0.7145, 0.0000)
Nb (0.0692, 0.5692, 0.5000)
Nb (0.4308, 0.0692, 0.5000)
Nb (0.5692, 0.9308, 0.5000)
Nb (0.9308, 0.4308, 0.5000)
Tl (0.0000, 0.0000, 0.5000)
Tl (0.5000, 0.5000, 0.5000)

As for the magnetic moment: 0.0 μB/cell.


Referenced to the most stable arrangement, the calculated values in meV/atom are w 36; x 0.


## w
Here is Rb2NbTl after structural relaxation from the Alexandria database. Energies are from GGA-PBE.

Cell: 7.8821 7.8821 7.8821 Å, 99.48 99.48 132.12°
Sites, in units of the cell vectors:
Rb (0.1188, 0.6250, 0.9938)
Rb (0.3750, 0.3688, 0.4938)
Rb (0.6312, 0.1250, 0.0062)
Rb (0.8750, 0.8812, 0.5062)
Nb (0.2500, 0.7500, 0.5000)
Nb (0.5000, 0.5000, 0.0000)
Tl (0.0000, 0.0000, 0.0000)
Tl (0.7500, 0.2500, 0.5000)

As for the magnetic moment: 8.2 μB/cell.


## x
Here is Rb2NbTl after structural relaxation from the Alexandria database. Energies are from GGA-PBE.

Cell: 6.2313 6.2313 6.2313 Å, 60.00 60.00 60.00°
Sites, in units of the cell vectors:
Rb (0.2500, 0.2500, 0.2500)
Rb (0.7500, 0.7500, 0.7500)
Nb (0.0000, 0.0000, 0.0000)
Tl (0.5000, 0.5000, 0.5000)

As for the magnetic moment: 4.5 μB/cell.


Referenced to the most stable arrangement, the calculated values in meV/atom are w 0; x 67.


## w
Here is RbNb2V after structural relaxation from the Alexandria database. Energies are from GGA-PBE.

Cell: 4.8352 4.8352 4.8352 Å, 60.00 60.00 60.00°
Sites, in units of the cell vectors:
Rb (0.0000, 0.0000, 0.0000)
Nb (0.2500, 0.2500, 0.2500)
Nb (0.7500, 0.7500, 0.7500)
V (0.5000, 0.5000, 0.5000)

As for the magnetic moment: 0.0 μB/cell.


## x
Here is RbNb2V after structural relaxation from the Alexandria database. Energies are from GGA-PBE.

Cell: 8.9004 8.9004 8.9004 Å, 143.29 143.29 52.89°
Sites, in units of the cell vectors:
Rb (0.3750, 0.6250, 0.7500)
Rb (0.6250, 0.3750, 0.2500)
Nb (0.0000, 0.0000, 0.0000)
Nb (0.0000, 0.0000, 0.5000)
Nb (0.0000, 0.5000, 0.0000)
Nb (0.5000, 0.0000, 0.5000)
V (0.1250, 0.8750, 0.2500)
V (0.8750, 0.1250, 0.7500)

As for the magnetic moment: 0.0 μB/cell.


Referenced to the most stable arrangement, the calculated values in meV/atom are w 0; x 132.


## w
Here is Rb2Nb2W after structural relaxation from the Alexandria database. Energies are from GGA-PBE.

Cell: 13.2100 13.2100 13.2100 Å, 164.46 164.46 22.04°
Sites, in units of the cell vectors:
Rb (0.1091, 0.1091, 0.0000)
Rb (0.8909, 0.8909, 0.0000)
Nb (0.2500, 0.7500, 0.5000)
Nb (0.7500, 0.2500, 0.5000)
W (0.5000, 0.5000, 0.0000)

As for the magnetic moment: 2.0 μB/cell.


## x
Here is Rb2Nb2W after structural relaxation from the Alexandria database. Energies are from GGA-PBE.

Cell: 9.5855 9.5855 2.7655 Å, 90.00 90.00 90.00°
Sites, in units of the cell vectors:
Rb (0.1112, 0.3888, 0.0000)
Rb (0.3888, 0.8888, 0.0000)
Rb (0.6112, 0.1112, 0.0000)
Rb (0.8888, 0.6112, 0.0000)
Nb (0.1964, 0.6964, 0.5000)
Nb (0.3036, 0.1964, 0.5000)
Nb (0.6964, 0.8036, 0.5000)
Nb (0.8036, 0.3036, 0.5000)
W (0.0000, 0.0000, 0.0000)
W (0.5000, 0.5000, 0.0000)

As for the magnetic moment: 3.9 μB/cell.


Referenced to the most stable arrangement, the calculated values in meV/atom are w 0; x 630.


## w
Here is RbY2Nb after structural relaxation from the Alexandria database. Energies are from GGA-PBE.

Cell: 8.3233 8.3233 8.3233 Å, 120.31 120.31 89.46°
Sites, in units of the cell vectors:
Rb (0.0000, 0.0000, 0.0000)
Rb (0.7500, 0.2500, 0.5000)
Y (0.3744, 0.6250, 0.2494)
Y (0.3750, 0.6244, 0.7494)
Y (0.3756, 0.1250, 0.7506)
Y (0.8750, 0.6256, 0.2506)
Nb (0.2500, 0.7500, 0.5000)
Nb (0.5000, 0.5000, 0.0000)

As for the magnetic moment: 0.0 μB/cell.


## x
Here is RbY2Nb after structural relaxation from the Alexandria database. Energies are from GGA-PBE.

Cell: 5.5797 5.5797 5.5797 Å, 60.00 60.00 60.00°
Sites, in units of the cell vectors:
Rb (0.0000, 0.0000, 0.0000)
Y (0.2500, 0.2500, 0.2500)
Y (0.7500, 0.7500, 0.7500)
Nb (0.5000, 0.5000, 0.5000)

As for the magnetic moment: 2.7 μB/cell.


Referenced to the most stable arrangement, the calculated values in meV/atom are w 327; x 0.


## w
Here is RbY3Nb after structural relaxation from the Alexandria database. Energies are from GGA-PBE.

Cell: 5.7113 5.7113 5.7113 Å, 90.00 90.00 90.00°
Sites, in units of the cell vectors:
Rb (0.0000, 0.0000, 0.0000)
Y (0.0000, 0.5000, 0.5000)
Y (0.5000, 0.0000, 0.5000)
Y (0.5000, 0.5000, 0.0000)
Nb (0.5000, 0.5000, 0.5000)

As for the magnetic moment: 0.0 μB/cell.


## x
Here is RbY3Nb after structural relaxation from the Alexandria database. Energies are from GGA-PBE.

Cell: 5.3135 5.3135 5.3135 Å, 90.00 90.00 90.00°
Sites, in units of the cell vectors:
Rb (0.0000, 0.0000, 0.0000)
Y (0.0000, 0.0000, 0.5000)
Y (0.0000, 0.5000, 0.0000)
Y (0.5000, 0.0000, 0.0000)
Nb (0.5000, 0.5000, 0.5000)

As for the magnetic moment: 0.0 μB/cell.


Referenced to the most stable arrangement, the calculated values in meV/atom are w 0; x 1142.


## w
Here is Rb2YNb after structural relaxation from the Alexandria database. Energies are from GGA-PBE.

Cell: 6.1844 6.1844 6.1844 Å, 60.00 60.00 60.00°
Sites, in units of the cell vectors:
Rb (0.2500, 0.2500, 0.2500)
Rb (0.7500, 0.7500, 0.7500)
Y (0.0000, 0.0000, 0.0000)
Nb (0.5000, 0.5000, 0.5000)

As for the magnetic moment: 3.9 μB/cell.


## x
Here is Rb2YNb after structural relaxation from the Alexandria database. Energies are from GGA-PBE.

Cell: 9.6803 9.6803 9.6803 Å, 94.41 94.41 147.80°
Sites, in units of the cell vectors:
Rb (0.3750, 0.2381, 0.3631)
Rb (0.7619, 0.1250, 0.1369)
Rb (0.8750, 0.0119, 0.6369)
Rb (0.9881, 0.6250, 0.8631)
Y (0.2500, 0.7500, 0.5000)
Y (0.5000, 0.5000, 0.0000)
Nb (0.0000, 0.0000, 0.0000)
Nb (0.7500, 0.2500, 0.5000)

As for the magnetic moment: 5.9 μB/cell.


Referenced to the most stable arrangement, the calculated values in meV/atom are w 207; x 0.


## w
Here is RbNbZn after structural relaxation from the Alexandria database. Energies are from GGA-PBE.

Cell: 3.6530 4.1692 13.0793 Å, 80.97 88.64 90.00°
Sites, in units of the cell vectors:
Rb (0.0000, 0.0000, 0.0000)
Rb (0.4434, 0.6847, 0.6542)
Nb (0.4660, 0.3028, 0.4025)
Nb (0.9791, 0.3769, 0.2518)
Zn (0.4797, 0.8795, 0.2464)
Zn (0.9653, 0.8000, 0.4079)

As for the magnetic moment: 0.0 μB/cell.


## x
Here is RbNbZn after structural relaxation from the Alexandria database. Energies are from GGA-PBE.

Cell: 3.5021 3.6000 13.9084 Å, 91.52 90.75 90.02°
Sites, in units of the cell vectors:
Rb (0.2331, 0.2735, 0.1635)
Rb (0.7669, 0.7265, 0.8365)
Nb (0.2466, 0.3096, 0.4444)
Nb (0.7534, 0.6904, 0.5556)
Zn (0.2585, 0.1976, 0.6445)
Zn (0.7415, 0.8024, 0.3555)

As for the magnetic moment: 0.0 μB/cell.


## y
Here is RbNbZn after structural relaxation from the Alexandria database. Energies are from GGA-PBE.

Cell: 5.0027 5.0027 8.4327 Å, 90.00 90.00 90.00°
Sites, in units of the cell vectors:
Rb (0.2500, 0.2500, 0.1600)
Rb (0.7500, 0.7500, 0.8400)
Nb (0.2500, 0.2500, 0.5794)
Nb (0.7500, 0.7500, 0.4206)
Zn (0.2500, 0.7500, 0.5000)
Zn (0.7500, 0.2500, 0.5000)

As for the magnetic moment: 2.4 μB/cell.


## z
Here is RbNbZn after structural relaxation from the Alexandria database. Energies are from GGA-PBE.

Cell: 3.8607 3.8630 13.5465 Å, 89.77 81.90 89.99°
Sites, in units of the cell vectors:
Rb (0.0000, 0.0000, 0.0000)
Rb (0.3268, 0.5102, 0.3424)
Nb (0.1327, 0.5116, 0.7387)
Nb (0.6327, 0.0118, 0.7387)
Zn (0.2094, 0.0138, 0.5836)
Zn (0.7093, 0.5143, 0.5837)

As for the magnetic moment: 0.0 μB/cell.


Referenced to the most stable arrangement, the calculated values in meV/atom are w 25; x 0; y 585; z 84.


## w
Here is RbNbZn after structural relaxation from the Alexandria database. Energies are from GGA-PBE.

Cell: 3.2287 4.7939 13.0924 Å, 95.05 93.95 107.47°
Sites, in units of the cell vectors:
Rb (0.0000, 0.0000, 0.0000)
Rb (0.1447, 0.6204, 0.3521)
Nb (0.1072, 0.1872, 0.5764)
Nb (0.6965, 0.6790, 0.6327)
Zn (0.1909, 0.5236, 0.7928)
Zn (0.4839, 0.0914, 0.7578)

As for the magnetic moment: 0.0 μB/cell.


## x
Here is RbNbZn after structural relaxation from the Alexandria database. Energies are from GGA-PBE.

Cell: 5.4080 5.4080 8.1216 Å, 90.00 90.00 120.00°
Sites, in units of the cell vectors:
Rb (0.0000, 0.0000, 0.0000)
Rb (0.0000, 0.0000, 0.5000)
Nb (0.3333, 0.6667, 0.1352)
Nb (0.3333, 0.6667, 0.8648)
Zn (0.6667, 0.3333, 0.1630)
Zn (0.6667, 0.3333, 0.8370)

As for the magnetic moment: 0.0 μB/cell.


Referenced to the most stable arrangement, the calculated values in meV/atom are w 0; x 563.